[1]
Crystalline Zn2Tc at its relaxed geometry, computed with PBE.

Output
- formation enthalpy at 0 K (eV per atom) = 0.246
- relative energy among the computed polymorphs (eV per atom) = 0.246
- space group = P6_3/mmc (194)

Unit cell a=4.405 b=4.405 c=5.138 alpha=90.00 beta=90.00 gamma=120.00
Atoms (fractional coordinates):
Zn: 0.000 0.000 0.000
Zn: 0.000 0.000 0.500
Zn: 0.333 0.667 0.250
Zn: 0.667 0.333 0.750
Tc: 0.333 0.667 0.750
Tc: 0.667 0.333 0.250

[2]
Crystalline Al2TlW at its relaxed geometry, computed with PBE.

Output
- formation enthalpy at 0 K (eV per atom) = 0.424
- relative energy among the computed polymorphs (eV per atom) = 0.139
- space group = P4mm (99)

Unit cell a=3.558 b=3.558 c=5.665 alpha=90.00 beta=90.00 gamma=90.00
Atoms (fractional coordinates):
Al: 0.000 0.000 0.000
Al: 0.500 0.500 0.260
Tl: 0.000 0.000 0.511
W: 0.500 0.500 0.800

[3]
Crystalline Pr3ErAg2 at its relaxed geometry, computed with PBE.

Output
- formation enthalpy at 0 K (eV per atom) = -0.148
- space group = Pmc2_1 (26)

Unit cell a=5.285 b=9.507 c=6.987 alpha=90.00 beta=90.00 gamma=90.00
Atoms (fractional coordinates):
Pr: 0.000 0.059 0.000
Pr: 0.000 0.337 0.343
Pr: 0.000 0.663 0.843
Pr: 0.000 0.941 0.500
Pr: 0.500 0.172 0.667
Pr: 0.500 0.828 0.167
Er: 0.500 0.442 0.016
Er: 0.500 0.558 0.516
Ag: 0.000 0.349 0.786
Ag: 0.000 0.651 0.286
Ag: 0.500 0.160 0.227
Ag: 0.500 0.840 0.727

[4]
Crystalline VPd2Pt at its relaxed geometry, computed with PBE.

Output
- formation enthalpy at 0 K (eV per atom) = -0.258
- space group = Pmmm (47)

Unit cell a=2.747 b=3.923 c=5.501 alpha=90.00 beta=90.00 gamma=90.00
Atoms (fractional coordinates):
V: 0.000 0.000 0.000
Pd: 0.500 0.500 0.240
Pd: 0.500 0.500 0.760
Pt: 0.000 0.000 0.500

[5]
Crystalline Li5Bi2 at its relaxed geometry, computed with PBE.

Output
- formation enthalpy at 0 K (eV per atom) = -0.465
- space group = Ibam (72)

Unit cell a=8.165 b=8.165 c=8.165 alpha=127.03 beta=70.93 gamma=136.43
Atoms (fractional coordinates):
Li: 0.013 0.250 0.763
Li: 0.090 0.658 0.749
Li: 0.250 0.250 0.000
Li: 0.410 0.158 0.568
Li: 0.487 0.250 0.237
Li: 0.513 0.750 0.763
Li: 0.590 0.842 0.432
Li: 0.750 0.750 0.000
Li: 0.910 0.342 0.251
Li: 0.987 0.750 0.237
Bi: 0.125 0.261 0.386
Bi: 0.375 0.761 0.136
Bi: 0.625 0.239 0.864
Bi: 0.875 0.739 0.614

[6]
Crystalline Li3ZnSn2 at its relaxed geometry, computed with PBE.

Output
- formation enthalpy at 0 K (eV per atom) = -0.232
- relative energy among the computed polymorphs (eV per atom) = 0.002
- space group = Pmm2 (25)

Unit cell a=3.110 b=4.689 c=7.878 alpha=90.00 beta=90.00 gamma=90.00
Atoms (fractional coordinates):
Li: 0.000 0.000 0.000
Li: 0.000 0.000 0.334
Li: 0.000 0.500 0.830
Zn: 0.000 0.500 0.497
Sn: 0.500 0.000 0.660
Sn: 0.500 0.500 0.165

[7]
Crystalline PuUPdPt at its relaxed geometry, computed with PBE.

Output
- formation enthalpy at 0 K (eV per atom) = -0.430
- relative energy among the computed polymorphs (eV per atom) = 0.219
- space group = F-43m (216)

Unit cell a=4.946 b=4.946 c=4.946 alpha=60.00 beta=60.00 gamma=60.00
Atoms (fractional coordinates):
Pu: 0.000 0.000 0.000
U: 0.500 0.500 0.500
Pd: 0.250 0.250 0.250
Pt: 0.750 0.750 0.750

[8]
Crystalline Ho2InSi2Ir5 at its relaxed geometry, computed with PBE.

Output
- raw formation energy (meV per atom) = -821
- space group = P4/mbm (127)

Unit cell a=9.749 b=9.749 c=3.566 alpha=90.00 beta=90.00 gamma=90.00
Atoms (fractional coordinates):
Ho: 0.176 0.324 0.000
Ho: 0.324 0.824 0.000
Ho: 0.676 0.176 0.000
Ho: 0.824 0.676 0.000
In: 0.000 0.000 0.000
In: 0.500 0.500 0.000
Si: 0.123 0.623 0.000
Si: 0.377 0.123 0.000
Si: 0.623 0.877 0.000
Si: 0.877 0.377 0.000
Ir: 0.000 0.500 0.500
Ir: 0.068 0.783 0.500
Ir: 0.217 0.068 0.500
Ir: 0.283 0.568 0.500
Ir: 0.432 0.283 0.500
Ir: 0.500 0.000 0.500
Ir: 0.568 0.717 0.500
Ir: 0.717 0.432 0.500
Ir: 0.783 0.932 0.500
Ir: 0.932 0.217 0.500

[9]
Crystalline Np2Co3CuAs4 at its relaxed geometry, computed with PBE.

Output
- formation enthalpy at 0 K (eV per atom) = -0.404
- space group = P-4m2 (115)

Unit cell a=4.153 b=4.153 c=9.351 alpha=90.00 beta=90.00 gamma=90.00
Atoms (fractional coordinates):
Np: 0.000 0.500 0.248
Np: 0.500 0.000 0.752
Co: 0.000 0.500 0.887
Co: 0.500 0.000 0.113
Co: 0.500 0.500 0.500
Cu: 0.000 0.000 0.500
As: 0.000 0.000 0.000
As: 0.000 0.500 0.641
As: 0.500 0.000 0.359
As: 0.500 0.500 0.000

[10]
Crystalline TmSiBi at its relaxed geometry, computed with PBE.

Output
- raw formation energy (meV per atom) = -414
- space group = Cmcm (63)

Unit cell a=8.355 b=8.355 c=4.070 alpha=90.00 beta=90.00 gamma=148.91
Atoms (fractional coordinates):
Tm: 0.090 0.910 0.750
Tm: 0.910 0.090 0.250
Si: 0.455 0.545 0.750
Si: 0.545 0.455 0.250
Bi: 0.254 0.746 0.250
Bi: 0.746 0.254 0.750